# PBE+U Fe5CuP6O24, relaxed
# Total energy: -6.9148 eV per atom
data_Fe5CuP6O24
_space_group_name_H-M_alt 'R 3'
_space_group_IT_number 146
_space_group_name_Hall 'R 3'
_cell_length_a 8.6415
_cell_length_b 8.6415
_cell_length_c 20.3103
_cell_angle_alpha 90.00
_cell_angle_beta 90.00
_cell_angle_gamma 120.00
loop_
_atom_site_label
_atom_site_fract_x
_atom_site_fract_y
_atom_site_fract_z
Fe1 0.0000 0.0000 0.0000
Fe2 0.0000 0.0000 0.1462
Fe3 0.0000 0.0000 0.2921
Fe4 0.0000 0.0000 0.5013
Fe5 0.0000 0.0000 0.6481
Cu1 0.0000 0.0000 0.7925
P1 0.0003 0.2969 0.8948
P2 0.9995 0.7022 0.3969
O1 0.0076 0.8317 0.0742
O2 0.0094 0.8052 0.4589
O3 0.0139 0.1799 0.5746
O4 0.0161 0.2028 0.9553
O5 0.1318 0.4580 0.4972
O6 0.1429 0.6815 0.0020
O7 0.1636 0.4919 0.8847
O8 0.1672 0.6805 0.3840